[1]
Density functional theory data (PBE-GGA) for a geometry-optimized AcNd2Pt structure.

Lattice parameters (Å, degrees): 4.1476 4.1476 28.7107 90.00 90.00 120.00
Space group R3m (No. 160, hexagonal axes)
Unique sites:
Ac  0.0000  0.0000  0.0000 (multiplicity 3)
Nd  0.0000  0.0000  0.2253 (multiplicity 3)
Nd  0.0000  0.0000  0.4451 (multiplicity 3)
Pt  0.0000  0.0000  0.8358 (multiplicity 3)

Output
DFT formation energy ... -504 meV per atom
Crystal system ... trigonal



[2]
Density functional theory data (PBE-GGA) for a geometry-optimized CaAc2GeN structure.

Lattice parameters (Å, degrees): 5.281 5.281 4.835 90.00 90.00 90.00
Space group P4/mmm (No. 123)
Unique sites:
Ca  0.000  0.000  0.000 (multiplicity 1)
Ac  0.000  0.500  0.500 (multiplicity 2)
Ge  0.500  0.500  0.000 (multiplicity 1)
N  0.000  0.000  0.500 (multiplicity 1)

Output
Raw formation energy ... -0.750 eV per atom
Crystal system ... tetragonal



[3]
Density functional theory data (PBE-GGA) for a geometry-optimized ZrScAs3 structure.

Lattice parameters (Å, degrees): 4.966 4.966 4.966 90.00 90.00 90.00
Space group Pm-3m (No. 221)
Unique sites:
Zr  0.000  0.000  0.000 (multiplicity 1)
Sc  0.500  0.500  0.500 (multiplicity 1)
As  0.000  0.500  0.500 (multiplicity 3)

Output
DFT formation energy ... 204 meV per atom
Crystal system ... cubic



[4]
Density functional theory data (PBE-GGA) for a geometry-optimized Hf2CdRu2 structure.

Lattice parameters (Å, degrees): 7.600 7.600 3.213 90.00 90.00 90.00
Space group P4/mbm (No. 127)
Unique sites:
Hf  0.153  0.347  0.000 (multiplicity 4)
Cd  0.000  0.000  0.500 (multiplicity 2)
Ru  0.143  0.643  0.500 (multiplicity 4)

Output
DFT formation energy ... -364 meV per atom
Crystal system ... tetragonal



[5]
Density functional theory data (PBE-GGA) for a geometry-optimized VAg structure.

Lattice parameters (Å, degrees): 7.458 7.458 7.458 90.00 90.00 90.00
Space group Pm-3n (No. 223)
Unique sites:
V  0.000  0.250  0.500 (multiplicity 6)
Ag  0.000  0.500  0.250 (multiplicity 6)

Output
DFT formation energy ... 1779 meV per atom
Crystal system ... cubic



[6]
Density functional theory data (PBE-GGA) for a geometry-optimized Zr3Tc2 structure.

Lattice parameters (Å, degrees): 3.2150 3.2150 32.6289 90.00 90.00 120.00
Space group R-3m (No. 166, hexagonal axes)
Unique sites:
Zr  0.0000  0.0000  0.0000 (multiplicity 3)
Zr  0.0000  0.0000  0.2074 (multiplicity 6)
Tc  0.0000  0.0000  0.3975 (multiplicity 6)

Output
DFT formation energy ... -11 meV per atom
Crystal system ... trigonal



[7]
Density functional theory data (PBE-GGA) for a geometry-optimized Mn2IrAu structure.

Lattice parameters (Å, degrees): 2.8794 2.8794 25.6035 90.00 90.00 120.00
Space group R-3m (No. 166, hexagonal axes)
Unique sites:
Mn  0.0000  0.0000  0.2459 (multiplicity 6)
Ir  0.0000  0.0000  0.5000 (multiplicity 3)
Au  0.0000  0.0000  0.0000 (multiplicity 3)

Output
DFT formation energy ... 106 meV per atom
Crystal system ... trigonal



[8]
Density functional theory data (PBE-GGA) for a geometry-optimized KAlAg2 structure.

Lattice parameters (Å, degrees): 2.997 4.516 7.469 90.00 90.09 90.00
Space group Pm (No. 6)
Unique sites:
K  0.000  0.000  0.000 (multiplicity 1)
Al  0.997  0.500  0.413 (multiplicity 1)
Ag  0.497  0.000  0.421 (multiplicity 1)
Ag  0.498  0.500  0.711 (multiplicity 1)

Output
DFT formation energy ... 109 meV per atom
Crystal system ... monoclinic



[9]
Density functional theory data (PBE-GGA) for a geometry-optimized SrReW2 structure.

Lattice parameters (Å, degrees): 9.857 3.178 5.919 90.00 104.43 90.00
Space group Cm (No. 8)
Unique sites:
Sr  0.000  0.000  0.000 (multiplicity 2)
Re  0.278  0.500  0.357 (multiplicity 2)
W  0.210  0.000  0.636 (multiplicity 2)
W  0.491  0.000  0.491 (multiplicity 2)

Output
DFT formation energy ... 887 meV per atom
Crystal system ... monoclinic



[10]
Density functional theory data (PBE-GGA) for a geometry-optimized TlSbSeI2 structure.

Lattice parameters (Å, degrees): 5.990 5.990 6.041 90.00 90.00 90.00
Space group P4/mmm (No. 123)
Unique sites:
Tl  0.000  0.000  0.000 (multiplicity 1)
Sb  0.000  0.000  0.500 (multiplicity 1)
Se  0.500  0.500  0.500 (multiplicity 1)
I  0.000  0.500  0.000 (multiplicity 2)

Output
Raw formation energy ... 0.638 eV per atom
Crystal system ... tetragonal



[11]
Density functional theory data (PBE-GGA) for a geometry-optimized NaAl2CdS4 structure.

Lattice parameters (Å, degrees): 5.305 5.305 13.647 90.00 90.00 90.00
Space group I-42m (No. 121)
Unique sites:
Na  0.000  0.000  0.000 (multiplicity 2)
Al  0.000  0.500  0.250 (multiplicity 4)
Cd  0.000  0.000  0.500 (multiplicity 2)
S  0.245  0.245  0.847 (multiplicity 8)

Output
Raw formation energy ... -0.838 eV per atom
Crystal system ... tetragonal



[12]
Density functional theory data (PBE-GGA) for a geometry-optimized Nd4InPt structure.

Lattice parameters (Å, degrees): 5.589 21.005 6.605 90.00 90.00 90.00
Space group Cmcm (No. 63)
Unique sites:
Nd  0.000  0.052  0.250 (multiplicity 4)
Nd  0.000  0.199  0.005 (multiplicity 8)
Nd  0.000  0.400  0.250 (multiplicity 4)
In  0.000  0.346  0.750 (multiplicity 4)
Pt  0.000  0.082  0.750 (multiplicity 4)

Output
DFT formation energy ... -440 meV per atom
Crystal system ... orthorhombic



N(E_F) values (in states/eV/cell) by entry order: 14.695; 2.170; 7.095; 5.028; 27.191; 12.013; 9.030; 1.169; 8.033; 3.897; 7.801; 30.647.
E values (in Ha/atom) by entry order: -0.1994; -0.1978; -0.2044; -0.3028; -0.1546; -0.3413; -0.2761; -0.0929; -0.3352; -0.0726; -0.1513; -0.1868.